{
  "formula": "InSi2Hg",
  "functional": "PBE",
  "state": "relaxed",
  "lattice": [[4.1301, -1.8609, 0.0000], [4.1301, 1.8609, 0.0000], [-2.5956, 0.0000, 5.9277]],
  "species": ["In", "Si", "Si", "Hg"],
  "fractional_positions": [[0.0000, 0.0000, 0.0000], [0.2185, 0.2185, 0.7846], [0.6337, 0.6337, 0.5359], [0.8477, 0.8477, 0.3363]],
  "sg": "No. 8",
  "de_polymorph_ev_per_atom": 0.080
}

{
  "formula": "InSi2Hg2",
  "functional": "PBE",
  "state": "relaxed",
  "lattice": [[-2.3228, 2.3228, 5.4024], [2.3228, -2.3228, 5.4024], [2.3228, 2.3228, -5.4024]],
  "species": ["In", "Si", "Si", "Hg", "Hg"],
  "fractional_positions": [[0.0000, 0.0000, 0.0000], [0.3922, 0.3922, 0.0000], [0.6078, 0.6078, 0.0000], [0.2500, 0.7500, 0.5000], [0.7500, 0.2500, 0.5000]],
  "sg": "No. 139",
  "de_polymorph_ev_per_atom": 0.101
}

{
  "formula": "InSi2Hg",
  "functional": "PBE",
  "state": "relaxed",
  "lattice": [[-2.0753, 2.0753, 4.8264], [2.0753, -2.0753, 4.8264], [2.0753, 2.0753, -4.8264]],
  "species": ["In", "Si", "Si", "Hg"],
  "fractional_positions": [[0.0000, 0.0000, 0.0000], [0.2500, 0.7500, 0.5000], [0.7500, 0.2500, 0.5000], [0.5000, 0.5000, 0.0000]],
  "sg": "No. 139",
  "de_polymorph_ev_per_atom": 0.338
}

{
  "formula": "InSiHg4",
  "functional": "PBE",
  "state": "relaxed",
  "lattice": [[0.0000, 4.2542, 4.2542], [4.2542, 0.0000, 4.2542], [4.2542, 4.2542, 0.0000]],
  "species": ["In", "Si", "Hg", "Hg", "Hg", "Hg"],
  "fractional_positions": [[0.0000, 0.0000, 0.0000], [0.7500, 0.7500, 0.7500], [0.3753, 0.3753, 0.3753], [0.3753, 0.3753, 0.8741], [0.3753, 0.8741, 0.3753], [0.8741, 0.3753, 0.3753]],
  "sg": "No. 216"
}

{
  "formula": "InSi2Hg",
  "functional": "PBE",
  "state": "relaxed",
  "lattice": [[1.5073, -2.7720, 0.0000], [1.5073, 2.7720, 0.0000], [0.0000, 0.0000, 10.1128]],
  "species": ["In", "Si", "Si", "Hg"],
  "fractional_positions": [[0.0000, 0.0000, 0.0000], [0.5000, 0.5000, 0.2561], [0.5000, 0.5000, 0.7439], [0.0000, 0.0000, 0.5000]],
  "sg": "No. 65",
  "de_polymorph_ev_per_atom": 0.367
}

{
  "formula": "InSi2Hg",
  "functional": "PBE",
  "state": "relaxed",
  "lattice": [[0.0000, 3.4677, 3.4677], [3.4677, 0.0000, 3.4677], [3.4677, 3.4677, 0.0000]],
  "species": ["In", "Si", "Si", "Hg"],
  "fractional_positions": [[0.0000, 0.0000, 0.0000], [0.2500, 0.2500, 0.2500], [0.5000, 0.5000, 0.5000], [0.7500, 0.7500, 0.7500]],
  "sg": "No. 216",
  "de_polymorph_ev_per_atom": 0.329
}

{
  "formula": "InSi4Hg",
  "functional": "PBE",
  "state": "relaxed",
  "lattice": [[0.0000, 3.8488, 3.8488], [3.8488, 0.0000, 3.8488], [3.8488, 3.8488, 0.0000]],
  "species": ["In", "Si", "Si", "Si", "Si", "Hg"],
  "fractional_positions": [[0.0000, 0.0000, 0.0000], [0.1267, 0.6244, 0.6244], [0.6244, 0.1267, 0.6244], [0.6244, 0.6244, 0.1267], [0.6244, 0.6244, 0.6244], [0.2500, 0.2500, 0.2500]],
  "sg": "No. 216"
}

{
  "formula": "In3SiHg",
  "functional": "PBE",
  "state": "relaxed",
  "lattice": [[5.2981, 0.0000, 0.0000], [0.0000, 5.2981, 0.0000], [0.0000, 0.0000, 5.2981]],
  "species": ["In", "In", "In", "Si", "Hg"],
  "fractional_positions": [[0.0000, 0.0000, 0.5000], [0.0000, 0.5000, 0.0000], [0.5000, 0.0000, 0.0000], [0.0000, 0.0000, 0.0000], [0.5000, 0.5000, 0.5000]],
  "sg": "No. 221",
  "de_polymorph_ev_per_atom": 0.000
}

{
  "formula": "InSi2Hg2",
  "functional": "PBE",
  "state": "relaxed",
  "lattice": [[7.1940, 0.0000, 0.0000], [0.0000, 7.1940, 0.0000], [0.0000, 0.0000, 4.3105]],
  "species": ["In", "In", "Si", "Si", "Si", "Si", "Hg", "Hg", "Hg", "Hg"],
  "fractional_positions": [[0.0000, 0.0000, 0.0000], [0.5000, 0.5000, 0.0000], [0.1171, 0.3829, 0.0000], [0.3829, 0.8829, 0.0000], [0.6171, 0.1171, 0.0000], [0.8829, 0.6171, 0.0000], [0.1878, 0.6878, 0.5000], [0.3122, 0.1878, 0.5000], [0.6878, 0.8122, 0.5000], [0.8122, 0.3122, 0.5000]],
  "sg": "No. 127",
  "de_polymorph_ev_per_atom": 0.116
}

{
  "formula": "InSi2Hg",
  "functional": "PBE",
  "state": "relaxed",
  "lattice": [[4.7508, 0.0000, 0.0000], [0.0000, 3.9323, 0.0000], [-0.8340, 0.0000, 5.0769]],
  "species": ["In", "Si", "Si", "Hg"],
  "fractional_positions": [[0.0000, 0.0000, 0.0000], [0.1959, 0.5000, 0.6710], [0.8041, 0.5000, 0.3290], [0.5000, 0.0000, 0.5000]],
  "sg": "No. 10",
  "de_polymorph_ev_per_atom": 0.196
}

{
  "formula": "InSi2Hg",
  "functional": "PBE",
  "state": "relaxed",
  "lattice": [[5.0567, 0.0000, 0.0000], [0.0000, 3.1819, 0.0000], [-2.0915, 0.0000, 5.2228]],
  "species": ["In", "Si", "Si", "Hg"],
  "fractional_positions": [[0.0000, 0.0000, 0.0000], [0.0000, 0.5000, 0.5000], [0.5000, 0.0000, 0.5000], [0.5000, 0.5000, 0.0000]],
  "sg": "No. 10",
  "de_polymorph_ev_per_atom": 0.347
}

{
  "formula": "InSi2Hg",
  "functional": "PBE",
  "state": "relaxed",
  "lattice": [[1.4858, 0.8578, 11.1274], [-1.4858, 0.8578, 11.1274], [0.0000, -1.7157, 11.1274]],
  "species": ["In", "Si", "Si", "Hg"],
  "fractional_positions": [[0.0000, 0.0000, 0.0000], [0.2505, 0.2505, 0.2505], [0.7495, 0.7495, 0.7495], [0.5000, 0.5000, 0.5000]],
  "sg": "No. 166",
  "de_polymorph_ev_per_atom": 0.393
}

{
  "formula": "InSi2Hg",
  "functional": "PBE",
  "state": "relaxed",
  "lattice": [[3.4156, 0.0000, 0.0000], [0.0000, 3.4156, 0.0000], [0.0000, 0.0000, 7.6772]],
  "species": ["In", "Si", "Si", "Hg"],
  "fractional_positions": [[0.0000, 0.0000, 0.0000], [0.0000, 0.0000, 0.3468], [0.5000, 0.5000, 0.4196], [0.5000, 0.5000, 0.7540]],
  "sg": "No. 99",
  "de_polymorph_ev_per_atom": 0.048
}

{
  "formula": "InSi2Hg2",
  "functional": "PBE",
  "state": "relaxed",
  "lattice": [[-1.7402, 1.7402, 9.2713], [1.7402, -1.7402, 9.2713], [1.7402, 1.7402, -9.2713]],
  "species": ["In", "Si", "Si", "Hg", "Hg"],
  "fractional_positions": [[0.0000, 0.0000, 0.0000], [0.2500, 0.7500, 0.5000], [0.7500, 0.2500, 0.5000], [0.3868, 0.3868, 0.0000], [0.6132, 0.6132, 0.0000]],
  "sg": "No. 139",
  "de_polymorph_ev_per_atom": 0.000
}

{
  "formula": "In2SiHg2",
  "functional": "PBE",
  "state": "relaxed",
  "lattice": [[7.1539, 0.0000, 0.0000], [0.0000, 7.1539, 0.0000], [0.0000, 0.0000, 5.0176]],
  "species": ["In", "In", "In", "In", "Si", "Si", "Hg", "Hg", "Hg", "Hg"],
  "fractional_positions": [[0.1675, 0.3325, 0.0000], [0.3325, 0.8325, 0.0000], [0.6675, 0.1675, 0.0000], [0.8325, 0.6675, 0.0000], [0.0000, 0.0000, 0.5000], [0.5000, 0.5000, 0.5000], [0.1503, 0.6503, 0.5000], [0.3497, 0.1503, 0.5000], [0.6503, 0.8497, 0.5000], [0.8497, 0.3497, 0.5000]],
  "sg": "No. 127",
  "de_polymorph_ev_per_atom": 0.016
}

{
  "formula": "InSi2Hg",
  "functional": "PBE",
  "state": "relaxed",
  "lattice": [[1.8981, 1.0959, 7.2235], [-1.8981, 1.0959, 7.2235], [0.0000, -2.1918, 7.2235]],
  "species": ["In", "Si", "Si", "Hg"],
  "fractional_positions": [[0.0000, 0.0000, 0.0000], [0.2397, 0.2397, 0.2397], [0.5300, 0.5300, 0.5300], [0.7700, 0.7700, 0.7700]],
  "sg": "No. 160",
  "de_polymorph_ev_per_atom": 0.000
}

{
  "formula": "InSi2Hg",
  "functional": "PBE",
  "state": "relaxed",
  "lattice": [[3.4677, 0.0000, 0.0000], [0.0000, 3.4677, 0.0000], [0.0000, 0.0000, 6.9294]],
  "species": ["In", "Si", "Si", "Hg"],
  "fractional_positions": [[0.0000, 0.0000, 0.0000], [0.5000, 0.5000, 0.2605], [0.5000, 0.5000, 0.7395], [0.0000, 0.0000, 0.5000]],
  "sg": "No. 123",
  "de_polymorph_ev_per_atom": 0.382
}

{
  "formula": "In2SiHg2",
  "functional": "PBE",
  "state": "relaxed",
  "lattice": [[7.2390, 0.0000, 0.0000], [0.0000, 7.2390, 0.0000], [0.0000, 0.0000, 4.9571]],
  "species": ["In", "In", "In", "In", "Si", "Si", "Hg", "Hg", "Hg", "Hg"],
  "fractional_positions": [[0.1519, 0.3481, 0.0000], [0.3481, 0.8481, 0.0000], [0.6519, 0.1519, 0.0000], [0.8481, 0.6519, 0.0000], [0.0000, 0.0000, 0.0000], [0.5000, 0.5000, 0.0000], [0.1634, 0.6634, 0.5000], [0.3366, 0.1634, 0.5000], [0.6634, 0.8366, 0.5000], [0.8366, 0.3366, 0.5000]],
  "sg": "No. 127",
  "de_polymorph_ev_per_atom": 0.000
}

{
  "formula": "In12Si5Hg3",
  "functional": "PBE",
  "state": "relaxed",
  "lattice": [[-8.1896, 8.1896, 8.1896], [8.1896, -8.1896, 8.1896], [8.1896, 8.1896, -8.1896]],
  "species": ["In", "In", "In", "In", "In", "In", "In", "In", "In", "In", "In", "In", "In", "In", "In", "In", "In", "In", "In", "In", "In", "In", "In", "In", "In", "In", "In", "In", "In", "In", "In", "In", "In", "In", "In", "In", "In", "In", "In", "In", "In", "In", "In", "In", "In", "In", "In", "In", "Si", "Si", "Si", "Si", "Si", "Si", "Si", "Si", "Si", "Si", "Si", "Si", "Si", "Si", "Si", "Si", "Si", "Si", "Si", "Si", "Hg", "Hg", "Hg", "Hg", "Hg", "Hg", "Hg", "Hg", "Hg", "Hg", "Hg", "Hg"],
  "fractional_positions": [[0.0481, 0.2229, 0.1194], [0.0481, 0.3252, 0.9286], [0.0714, 0.6194, 0.3965], [0.0714, 0.9519, 0.6748], [0.1035, 0.7229, 0.6748], [0.1035, 0.8806, 0.4286], [0.1194, 0.0481, 0.2229], [0.1194, 0.5714, 0.8965], [0.1748, 0.2229, 0.6035], [0.1748, 0.4519, 0.5714], [0.2229, 0.1194, 0.0481], [0.2229, 0.6035, 0.1748], [0.2771, 0.3252, 0.8965], [0.2771, 0.4519, 0.3806], [0.3252, 0.8965, 0.2771], [0.3252, 0.9286, 0.0481], [0.3806, 0.2771, 0.4519], [0.3806, 0.6035, 0.9286], [0.3965, 0.0714, 0.6194], [0.3965, 0.8252, 0.7771], [0.4286, 0.1035, 0.8806], [0.4286, 0.8252, 0.5481], [0.4519, 0.3806, 0.2771], [0.4519, 0.5714, 0.1748], [0.5481, 0.4286, 0.8252], [0.5481, 0.6194, 0.7229], [0.5714, 0.1748, 0.4519], [0.5714, 0.8965, 0.1194], [0.6035, 0.1748, 0.2229], [0.6035, 0.9286, 0.3806], [0.6194, 0.3965, 0.0714], [0.6194, 0.7229, 0.5481], [0.6748, 0.0714, 0.9519], [0.6748, 0.1035, 0.7229], [0.7229, 0.5481, 0.6194], [0.7229, 0.6748, 0.1035], [0.7771, 0.3965, 0.8252], [0.7771, 0.8806, 0.9519], [0.8252, 0.5481, 0.4286], [0.8252, 0.7771, 0.3965], [0.8806, 0.4286, 0.1035], [0.8806, 0.9519, 0.7771], [0.8965, 0.1194, 0.5714], [0.8965, 0.2771, 0.3252], [0.9286, 0.0481, 0.3252], [0.9286, 0.3806, 0.6035], [0.9519, 0.6748, 0.0714], [0.9519, 0.7771, 0.8806], [0.0000, 0.0000, 0.0000], [0.0000, 0.0000, 0.5000], [0.0000, 0.5000, 0.0000], [0.0000, 0.5000, 0.5000], [0.1250, 0.7500, 0.8750], [0.1250, 0.8750, 0.2500], [0.2500, 0.1250, 0.8750], [0.2500, 0.6250, 0.3750], [0.3750, 0.2500, 0.6250], [0.3750, 0.6250, 0.7500], [0.5000, 0.0000, 0.0000], [0.5000, 0.0000, 0.5000], [0.5000, 0.5000, 0.0000], [0.5000, 0.5000, 0.5000], [0.6250, 0.3750, 0.2500], [0.6250, 0.7500, 0.3750], [0.7500, 0.3750, 0.6250], [0.7500, 0.8750, 0.1250], [0.8750, 0.1250, 0.7500], [0.8750, 0.2500, 0.1250], [0.1250, 0.2500, 0.3750], [0.1250, 0.3750, 0.7500], [0.2500, 0.3750, 0.1250], [0.2500, 0.8750, 0.6250], [0.3750, 0.1250, 0.2500], [0.3750, 0.7500, 0.1250], [0.6250, 0.2500, 0.8750], [0.6250, 0.8750, 0.7500], [0.7500, 0.1250, 0.3750], [0.7500, 0.6250, 0.8750], [0.8750, 0.6250, 0.2500], [0.8750, 0.7500, 0.6250]],
  "sg": "No. 230"
}

{
  "formula": "InSi2Hg",
  "functional": "PBE",
  "state": "relaxed",
  "lattice": [[-2.5578, 2.5578, 7.6301], [2.5578, -2.5578, 7.6301], [2.5578, 2.5578, -7.6301]],
  "species": ["In", "In", "Si", "Si", "Si", "Si", "Hg", "Hg"],
  "fractional_positions": [[0.0000, 0.0000, 0.0000], [0.7500, 0.2500, 0.5000], [0.1455, 0.6250, 0.0205], [0.3750, 0.3955, 0.5205], [0.6045, 0.1250, 0.9795], [0.8750, 0.8545, 0.4795], [0.2500, 0.7500, 0.5000], [0.5000, 0.5000, 0.0000]],
  "sg": "No. 122",
  "de_polymorph_ev_per_atom": 0.333
}

Number 1: formation energy without anion corrections 0.28 eV per atom, mass density 6.77 g/cm³, M_tot 0.0000 μB per atom. Number 2: formation energy without anion corrections 0.36 eV per atom, mass density 8.15 g/cm³, M_tot 0.0000 μB per atom. Number 3: formation energy without anion corrections 0.54 eV per atom, mass density 7.42 g/cm³, M_tot 0.0000 μB per atom. Number 4: formation energy without anion corrections 0.42 eV per atom, mass density 10.19 g/cm³, M_tot 0.0000 μB per atom. Number 5: formation energy without anion corrections 0.57 eV per atom, mass density 7.30 g/cm³, M_tot 0.0000 μB per atom. Number 6: formation energy without anion corrections 0.53 eV per atom, mass density 7.40 g/cm³, M_tot 0.0000 μB per atom. Number 7: formation energy without anion corrections 0.53 eV per atom, mass density 6.23 g/cm³, M_tot 0.0000 μB per atom. Number 8: formation energy without anion corrections 0.34 eV per atom, mass density 6.40 g/cm³, M_tot 0.0000 μB per atom. Number 9: formation energy without anion corrections 0.38 eV per atom, mass density 8.52 g/cm³, M_tot 0.0000 μB per atom. Number 10: formation energy without anion corrections 0.40 eV per atom, mass density 6.51 g/cm³, M_tot 0.0000 μB per atom. Number 11: formation energy without anion corrections 0.55 eV per atom, mass density 7.34 g/cm³, M_tot 0.0000 μB per atom. Number 12: formation energy without anion corrections 0.60 eV per atom, mass density 7.25 g/cm³, M_tot 0.0000 μB per atom. Number 13: formation energy without anion corrections 0.25 eV per atom, mass density 6.89 g/cm³, M_tot 0.0000 μB per atom. Number 14: formation energy without anion corrections 0.26 eV per atom, mass density 8.46 g/cm³, M_tot 0.0000 μB per atom. Number 15: formation energy without anion corrections 0.29 eV per atom, mass density 8.52 g/cm³, M_tot 0.0000 μB per atom. Number 16: formation energy without anion corrections 0.20 eV per atom, mass density 6.84 g/cm³, M_tot 0.0000 μB per atom. Number 17: formation energy without anion corrections 0.59 eV per atom, mass density 7.40 g/cm³, M_tot 0.0000 μB per atom. Number 18: formation energy without anion corrections 0.27 eV per atom, mass density 8.42 g/cm³, M_tot 0.0000 μB per atom. Number 19: formation energy without anion corrections 0.23 eV per atom, mass density 6.41 g/cm³, M_tot 0.0000 μB per atom. Number 20: formation energy without anion corrections 0.54 eV per atom, mass density 6.18 g/cm³, M_tot 0.0000 μB per atom.